1.
# Cr2MoP3 | Alexandria | PBE | relaxed
data_Cr2MoP3
_chemical_formula_sum 'Cr8 Mo4 P12'
_space_group_name_H-M_alt 'P 1'
_space_group_IT_number 1
_space_group_name_Hall 'P 1'
_cell_length_a 3.130
_cell_length_b 5.466
_cell_length_c 18.249
_cell_angle_alpha 89.88
_cell_angle_beta 90.00
_cell_angle_gamma 90.00
loop_
_atom_site_label
_atom_site_type_symbol
_atom_site_fract_x
_atom_site_fract_y
_atom_site_fract_z
_atom_site_occupancy
P1 P 0.000 0.821 0.819 1
P2 P 0.000 0.830 0.148 1
P3 P 0.500 0.690 0.308 1
P4 P 0.500 0.180 0.192 1
Cr1 Cr 0.500 0.007 0.396 1
Mo1 Mo 0.500 0.506 0.770 1
P5 P 0.500 0.684 0.638 1
Cr2 Cr 0.000 0.988 0.270 1
P6 P 0.500 0.179 0.522 1
Mo2 Mo 0.500 0.007 0.731 1
P7 P 0.000 0.304 0.351 1
Cr3 Cr 0.500 0.006 0.066 1
Mo3 Mo 0.500 0.510 0.435 1
Cr4 Cr 0.000 0.491 0.230 1
P8 P 0.000 0.304 0.021 1
Cr5 Cr 0.000 0.489 0.899 1
P9 P 0.000 0.830 0.479 1
Cr6 Cr 0.000 0.987 0.940 1
P10 P 0.500 0.688 0.978 1
Cr7 Cr 0.000 0.491 0.560 1
P11 P 0.000 0.322 0.680 1
P12 P 0.500 0.184 0.862 1
Cr8 Cr 0.000 0.991 0.601 1
Mo4 Mo 0.500 0.510 0.105 1
# SG = Pm, No. 6
# crystal system = monoclinic
# DFT formation energy = -536 meV/atom
# magnetic moment = 0.002 μB per atom
# theoretical density = 6.2 g/cm³



2.
# Cr2MoP2 | Alexandria | PBE | relaxed
data_Cr2MoP2
_chemical_formula_sum 'Cr4 Mo2 P4'
_space_group_name_H-M_alt 'P 1'
_space_group_IT_number 1
_space_group_name_Hall 'P 1'
_cell_length_a 6.579
_cell_length_b 6.579
_cell_length_c 2.887
_cell_angle_alpha 90.00
_cell_angle_beta 90.00
_cell_angle_gamma 90.00
loop_
_atom_site_label
_atom_site_type_symbol
_atom_site_fract_x
_atom_site_fract_y
_atom_site_fract_z
_atom_site_occupancy
Cr1 Cr 0.142 0.642 0.500 1
P1 P 0.650 0.150 0.000 1
P2 P 0.150 0.350 0.000 1
P3 P 0.850 0.650 0.000 1
Mo1 Mo 0.000 0.000 0.000 1
Cr2 Cr 0.358 0.142 0.500 1
P4 P 0.350 0.850 0.000 1
Cr3 Cr 0.642 0.858 0.500 1
Mo2 Mo 0.500 0.500 0.000 1
Cr4 Cr 0.858 0.358 0.500 1
# SG = P4/mbm, No. 127
# crystal system = tetragonal
# DFT formation energy = -284 meV/atom
# magnetic moment = 0.347 μB per atom
# theoretical density = 7.0 g/cm³



3.
# CrMo2P | Alexandria | PBE | relaxed
data_CrMo2P
_chemical_formula_sum 'Cr1 Mo2 P1'
_space_group_name_H-M_alt 'P 1'
_space_group_IT_number 1
_space_group_name_Hall 'P 1'
_cell_length_a 2.954
_cell_length_b 3.917
_cell_length_c 4.868
_cell_angle_alpha 90.00
_cell_angle_beta 90.00
_cell_angle_gamma 90.00
loop_
_atom_site_label
_atom_site_type_symbol
_atom_site_fract_x
_atom_site_fract_y
_atom_site_fract_z
_atom_site_occupancy
P1 P 0.000 0.000 0.501 1
Cr1 Cr 0.500 0.500 0.736 1
Mo1 Mo 0.500 0.500 0.272 1
Mo2 Mo 0.000 0.000 0.991 1
# SG = Pmm2, No. 25
# crystal system = orthorhombic
# DFT formation energy = 3 meV/atom
# magnetic moment = 0.000 μB per atom
# theoretical density = 8.1 g/cm³



4.
# CrMo2P | Alexandria | PBE | relaxed
data_CrMo2P
_chemical_formula_sum 'Cr1 Mo2 P1'
_space_group_name_H-M_alt 'P 1'
_space_group_IT_number 1
_space_group_name_Hall 'P 1'
_cell_length_a 3.153
_cell_length_b 4.460
_cell_length_c 3.940
_cell_angle_alpha 90.00
_cell_angle_beta 90.00
_cell_angle_gamma 90.00
loop_
_atom_site_label
_atom_site_type_symbol
_atom_site_fract_x
_atom_site_fract_y
_atom_site_fract_z
_atom_site_occupancy
P1 P 0.500 0.000 0.500 1
Mo1 Mo 0.500 0.500 0.000 1
Cr1 Cr 0.000 0.500 0.500 1
Mo2 Mo 0.000 0.000 0.000 1
# SG = Pmmm, No. 47
# crystal system = orthorhombic
# DFT formation energy = 11 meV/atom
# magnetic moment = 0.216 μB per atom
# theoretical density = 8.2 g/cm³



5.
# CrMoP | Alexandria | PBE | relaxed
data_CrMoP
_chemical_formula_sum 'Cr2 Mo2 P2'
_space_group_name_H-M_alt 'P 1'
_space_group_IT_number 1
_space_group_name_Hall 'P 1'
_cell_length_a 2.904
_cell_length_b 3.127
_cell_length_c 8.878
_cell_angle_alpha 90.00
_cell_angle_beta 90.00
_cell_angle_gamma 90.00
loop_
_atom_site_label
_atom_site_type_symbol
_atom_site_fract_x
_atom_site_fract_y
_atom_site_fract_z
_atom_site_occupancy
Cr1 Cr 0.000 0.500 0.012 1
P1 P 0.500 0.000 0.909 1
Mo1 Mo 0.500 0.500 0.705 1
Cr2 Cr 0.000 0.000 0.512 1
Mo2 Mo 0.500 0.000 0.205 1
P2 P 0.500 0.500 0.409 1
# SG = Amm2, No. 38
# crystal system = orthorhombic
# DFT formation energy = -290 meV/atom
# magnetic moment = 0.000 μB per atom
# theoretical density = 7.4 g/cm³



6.
# CrMoP2Pd | Alexandria | PBE | relaxed
data_CrMoP2Pd
_chemical_formula_sum 'Cr1 Mo1 P2 Pd1'
_space_group_name_H-M_alt 'P 1'
_space_group_IT_number 1
_space_group_name_Hall 'P 1'
_cell_length_a 4.314
_cell_length_b 4.537
_cell_length_c 4.314
_cell_angle_alpha 90.00
_cell_angle_beta 90.00
_cell_angle_gamma 90.00
loop_
_atom_site_label
_atom_site_type_symbol
_atom_site_fract_x
_atom_site_fract_y
_atom_site_fract_z
_atom_site_occupancy
Cr1 Cr 0.000 0.000 0.000 1
P1 P 0.000 0.000 0.500 1
P2 P 0.500 0.000 0.000 1
Pd1 Pd 0.500 0.500 0.500 1
Mo1 Mo 0.000 0.500 0.000 1
# SG = P4/mmm, No. 123
# crystal system = tetragonal
# DFT formation energy = 761 meV/atom
# magnetic moment = 0.000 μB per atom
# theoretical density = 6.2 g/cm³